A geometry-optimized HoMg4 structure, computed with GGA-PBE.

Calculated values
- magnetization (μB/f.u.) = 0.00
- space-group type = Pm-3m
- E_form (eV/f.u.) = 5.090
- energy (eV/atom) = -1.173

The structure in POSCAR format:
```
HoMg4
1.0
5.899 0.000 0.000
0.000 5.899 0.000
0.000 0.000 5.899
Ho Mg
1 4
direct
0.000 0.000 0.000 Ho
0.000 0.000 0.500 Mg
0.000 0.500 0.000 Mg
0.500 0.000 0.000 Mg
0.500 0.500 0.500 Mg
```